Entry 1:
ZrPaN3, optimized geometry, DFT GGA-PBE; space-group type = C2/m, No. 12; formation energy without anion corrections = -1567 meV per atom; total magnetization = 0.00 μB/f.u.
1.0
6.529 -1.819 0.000
6.529 1.819 0.000
-2.955 0.000 5.618
Zr Pa N
2 2 6
direct
0.119 0.119 0.293 Zr
0.881 0.881 0.707 Zr
0.367 0.367 0.216 Pa
0.633 0.633 0.784 Pa
0.085 0.085 0.924 N
0.235 0.235 0.714 N
0.436 0.436 0.612 N
0.564 0.564 0.388 N
0.765 0.765 0.286 N
0.915 0.915 0.076 N


Entry 2:
Ce2Dy3In3, optimized geometry, DFT GGA-PBE; space-group type = P-1, No. 2; DFT formation energy = -32 kJ per mole of atoms; total magnetization = 0.59 μB/f.u.
1.0
3.609 0.000 0.000
0.000 5.453 0.000
-1.803 -2.608 11.174
Ce Dy In
2 3 3
direct
0.243 0.186 0.485 Ce
0.757 0.814 0.515 Ce
0.000 0.000 0.000 Dy
0.122 0.526 0.244 Dy
0.878 0.474 0.756 Dy
0.380 0.989 0.760 In
0.500 0.500 0.000 In
0.620 0.011 0.240 In


Entry 3:
KMo2Ru, optimized geometry, DFT GGA-PBE; space-group type = C2/m, No. 12; DFT formation energy = 92 kJ per mole of atoms; total magnetization = 0.00 μB/f.u.
1.0
4.813 -1.531 0.000
4.813 1.531 0.000
-0.986 0.000 6.394
K Mo Ru
1 2 1
direct
0.000 0.000 0.000 K
0.213 0.213 0.625 Mo
0.787 0.787 0.375 Mo
0.500 0.500 0.500 Ru


Entry 4:
K2ZrTlI8, optimized geometry, DFT GGA-PBE; space-group type = P-1, No. 2; formation energy without anion corrections = -917 meV per atom; total magnetization = 0.00 μB/f.u.
1.0
6.994 0.000 0.000
0.032 8.188 0.000
0.042 0.024 10.330
K Zr Tl I
2 1 1 8
direct
0.003 0.000 0.219 K
0.997 0.000 0.781 K
0.500 0.500 0.000 Zr
0.500 0.500 0.500 Tl
0.255 0.380 0.204 I
0.257 0.377 0.797 I
0.264 0.979 0.500 I
0.299 0.807 0.998 I
0.701 0.193 0.002 I
0.736 0.021 0.500 I
0.743 0.623 0.203 I
0.745 0.620 0.796 I


Question: Which value of total magnetization does entry 2 give?
Answer: 0.59 μB/f.u.